Entry 1:
Compound: NaV2PtO8
Source: Alexandria
Functional: GGA+U
Structure: optimized geometry

Its symmetry is P-3m1, No. 164.

Cell lengths 5.6338, 5.6338, 6.5161 Å; angles 90.00, 90.00, 120.00 degrees
Last column: nearest neighbours and their distance in Å.
Element x y z (fractional)
Na 0.0000 0.0000 0.0000  6 O 2.57
V 0.3333 0.6667 0.2382  4 O 1.65-1.77
V 0.6667 0.3333 0.7618  4 O 1.65-1.77
Pt 0.0000 0.0000 0.5000  6 O 1.96
O 0.1590 0.3180 0.3153  1 V 1.77, 1 Pt 1.96
O 0.1590 0.8410 0.3153  1 V 1.77, 1 Pt 1.96
O 0.3180 0.1590 0.6847  1 V 1.77, 1 Pt 1.96
O 0.3333 0.6667 0.9854  1 V 1.65
O 0.6667 0.3333 0.0146  1 V 1.65
O 0.6820 0.8410 0.3153  1 V 1.77, 1 Pt 1.96
O 0.8410 0.1590 0.6847  1 V 1.77, 1 Pt 1.96
O 0.8410 0.6820 0.6847  1 V 1.77, 1 Pt 1.96

Entry 2:
Compound: NaVPtO5
Source: Alexandria
Functional: GGA+U
Structure: optimized geometry

Its symmetry is C2/c, No. 15.

Cell lengths 5.6889, 5.6889, 7.2928 Å; angles 103.86, 103.86, 106.88 degrees
Last column: nearest neighbours and their distance in Å.
Element x y z (fractional)
Na 0.1645 0.8355 0.7500  3 O 2.26-2.45
Na 0.8355 0.1645 0.2500  3 O 2.26-2.45
V 0.1848 0.8152 0.2500  4 O 1.75-1.76
V 0.8152 0.1848 0.7500  4 O 1.75-1.76
Pt 0.5000 0.5000 0.0000  6 O 1.99-2.04
Pt 0.5000 0.5000 0.5000  6 O 1.99-2.04
O 0.1244 0.2601 0.9228  1 V 1.76
O 0.1900 0.5901 0.3768  1 V 1.75
O 0.2601 0.1244 0.4228  1 V 1.76
O 0.4099 0.8100 0.1232  1 V 1.75
O 0.4117 0.5883 0.7500  2 Pt 1.99
O 0.5883 0.4117 0.2500  2 Pt 1.99
O 0.5901 0.1900 0.8768  1 V 1.75
O 0.7399 0.8756 0.5772  1 V 1.76
O 0.8100 0.4099 0.6232  1 V 1.75
O 0.8756 0.7399 0.0772  1 V 1.76

Entry 3:
Compound: NaVPtO4
Source: Alexandria
Functional: GGA+U
Structure: optimized geometry

Its symmetry is Cmcm, No. 63.

Cell lengths 5.3067, 5.3067, 6.9294 Å; angles 90.00, 90.00, 109.30 degrees
Last column: nearest neighbours and their distance in Å.
Element x y z (fractional)
Na 0.0000 0.0000 0.0000  6 O 2.35-2.36
Na 0.0000 0.0000 0.5000  6 O 2.35-2.36
V 0.3788 0.6212 0.7500  4 O 1.75-1.77
V 0.6212 0.3788 0.2500  4 O 1.75-1.77
Pt 0.2933 0.7067 0.2500  2 O 2.00
Pt 0.7067 0.2933 0.7500  2 O 2.00
O 0.2540 0.2684 0.7500  1 V 1.77
O 0.2684 0.2540 0.2500  1 V 1.77
O 0.2693 0.7307 0.5372  1 V 1.75
O 0.2693 0.7307 0.9628  1 V 1.75
O 0.7307 0.2693 0.0372  1 V 1.75
O 0.7307 0.2693 0.4628  1 V 1.75
O 0.7316 0.7460 0.7500  1 V 1.77
O 0.7460 0.7316 0.2500  1 V 1.77

no.,total DFT energy (no corrections) (eV per atom)
1,-6.493
2,-6.285
3,-6.162